Record 1
Below is a relaxed CsPbBr2Cl crystal, with properties calculated at the GGA-PBE level.

a = 8.4000 Å, b = 8.4000 Å, c = 8.2806 Å
α = 120.48°, β = 120.48°, γ = 90.00°
Last column: nearest neighbours and their distance in Å.
Atoms (fractional coordinates):
Cl 0.7504 0.7504 0.5009  2 Pb 2.88-2.89
Cl 0.2504 0.2504 0.5009  2 Pb 2.88-2.89
Br 0.6997 0.1997 0.9995  2 Pb 3.03
Br 0.7998 0.6997 0.9995  2 Pb 3.03
Br 0.2998 0.7998 0.9995  2 Pb 3.03
Br 0.1997 0.2998 0.9995  2 Pb 3.03
Pb 0.0003 0.0003 0.0007  2 Cl 2.88-2.89, 4 Br 3.03
Pb 0.5003 0.5003 0.0007  2 Cl 2.88-2.89, 4 Br 3.03
Cs 0.7499 0.2499 0.4999  4 Br 3.74
Cs 0.2499 0.7499 0.4999  4 Br 3.74

## Properties
As for the total energy: -3.3230 eV per atom. As for the raw formation energy: -6.86 eV per formula unit. Its space group is No. 108.

---

Record 2
Below is a relaxed Cs2PbBr2Cl4 crystal, with properties calculated at the GGA-PBE level.

a = 7.7023 Å, b = 7.7023 Å, c = 7.7023 Å
α = 92.90°, β = 118.34°, γ = 118.34°
Last column: nearest neighbours and their distance in Å.
Atoms (fractional coordinates):
Cl 0.0000 0.7676 0.2324  1 Pb 2.59
Cl 0.0000 0.2324 0.7676  1 Pb 2.59
Cl 0.4648 0.2324 0.2324  1 Pb 2.59
Cl 0.5352 0.7676 0.7676  1 Pb 2.59
Cs 0.5000 0.2500 0.7500  8 Cl 3.86, 4 Br 3.95
Cs 0.5000 0.7500 0.2500  8 Cl 3.86, 4 Br 3.95
Br 0.0000 0.7445 0.7445  1 Pb 2.71
Br 0.0000 0.2555 0.2555  1 Pb 2.71
Pb 0.0000 0.0000 0.0000  4 Cl 2.59, 2 Br 2.71

## Properties
As for the total energy: -3.0586 eV per atom. As for the raw formation energy: -11.38 eV per formula unit. Its space group is No. 139.

---

Record 3
Below is a relaxed Cs2PbBrCl6 crystal, with properties calculated at the GGA-PBE level.

a = 8.3975 Å, b = 8.6612 Å, c = 10.3966 Å
α = 90.00°, β = 90.00°, γ = 90.00°
Last column: nearest neighbours and their distance in Å.
Atoms (fractional coordinates):
Cl 0.0000 0.7256 0.2678  1 Br 2.42
Cl 0.0000 0.7256 0.7322  1 Br 2.42
Cl 0.5000 0.2744 0.2322  1 Br 2.42
Cl 0.2257 0.5384 0.0000  1 Pb 2.70
Cl 0.5000 0.2744 0.7678  1 Br 2.42
Cl 0.2251 0.9758 0.0000  1 Pb 2.65
Cl 0.7743 0.5384 0.0000  1 Pb 2.70
Cl 0.2749 0.0242 0.5000  1 Pb 2.65
Cl 0.7257 0.4616 0.5000  1 Pb 2.70
Cl 0.2743 0.4616 0.5000  1 Pb 2.70
Cl 0.7749 0.9758 0.0000  1 Pb 2.65
Cl 0.7251 0.0242 0.5000  1 Pb 2.65
Br 0.0000 0.7439 0.5000  2 Cl 2.42
Br 0.5000 0.2561 0.0000  2 Cl 2.42
Cs 0.5000 0.7261 0.7504  11 Cl 3.83-4.20
Cs 0.0000 0.2739 0.2504  11 Cl 3.83-4.20
Cs 0.0000 0.2739 0.7496  11 Cl 3.83-4.20
Cs 0.5000 0.7261 0.2496  11 Cl 3.83-4.20
Pb 0.0000 0.7609 0.0000  6 Cl 2.65-2.80
Pb 0.5000 0.2391 0.5000  6 Cl 2.65-2.80

## Properties
As for the total energy: -2.9299 eV per atom. As for the raw formation energy: -11.13 eV per formula unit. Its space group is No. 59.

---

Record 4
Below is a relaxed Cs2PbBr2Cl2 crystal, with properties calculated at the GGA-PBE level.

a = 5.7137 Å, b = 5.7137 Å, c = 10.0376 Å
α = 106.54°, β = 106.54°, γ = 90.00°
Last column: nearest neighbours and their distance in Å.
Atoms (fractional coordinates):
Br 0.8349 0.8349 0.6698  1 Pb 3.03
Br 0.1651 0.1651 0.3302  1 Pb 3.03
Cl 0.5000 0.0000 0.0000  2 Pb 2.86
Cl 0.0000 0.5000 0.0000  2 Pb 2.86
Cs 0.6380 0.6380 0.2759  1 Br 3.62, 4 Cl 3.82
Cs 0.3620 0.3620 0.7241  1 Br 3.62, 4 Cl 3.82
Pb 0.0000 0.0000 0.0000  4 Cl 2.86, 2 Br 3.03

## Properties
As for the total energy: -3.3379 eV per atom. As for the raw formation energy: -10.91 eV per formula unit. Its space group is No. 139.